## Cs2CuAuBr (PBE-GGA)

Data for an optimized crystal structure of Cs2CuAuBr.

It has space group P4/mmm (No. 123), with a = 6.628 Å, b = 6.628 Å, c = 4.886 Å, α = 90.00°, β = 90.00° and γ = 90.00°. The inequivalent atoms are Cs at (0.000, 0.500, 0.000), Cu at (0.000, 0.000, 0.000), Au at (0.000, 0.000, 0.500) and Br at (0.500, 0.500, 0.500).

Its total DFT energy (no corrections) is -2.717 eV per atom. Its density of states at the Fermi level is 0.5 states/eV per cell. As for the energy relative to the elements, uncorrected: -55 kJ per mole of atoms.



## Cs3CuAu2Br9 (PBE-GGA)

Data for an optimized crystal structure of Cs3CuAu2Br9.

It has space group P-3m1 (No. 164), with a = 7.6392 Å, b = 7.6392 Å, c = 9.3657 Å, α = 90.00°, β = 90.00° and γ = 120.00°. The inequivalent atoms are Cs at (0.0000, 0.0000, 0.0000), Cs at (0.3333, 0.6667, 0.6631), Cu at (0.0000, 0.0000, 0.5000), Au at (0.3333, 0.6667, 0.1717), Br at (0.0000, 0.5000, 0.0000) and Br at (0.1621, 0.3243, 0.3374).

Its total DFT energy (no corrections) is -2.730 eV per atom. Its density of states at the Fermi level is 4.5 states/eV per cell. As for the energy relative to the elements, uncorrected: -82 kJ per mole of atoms.



## CsCu2AuBr8 (PBE-GGA)

Data for an optimized crystal structure of CsCu2AuBr8.

It has space group P-3 (No. 147), with a = 6.8798 Å, b = 6.8798 Å, c = 9.9621 Å, α = 90.00°, β = 90.00° and γ = 120.00°. The inequivalent atoms are Cs at (0.0000, 0.0000, 0.0000), Cu at (0.3333, 0.6667, 0.7208), Au at (0.0000, 0.0000, 0.5000), Br at (0.0151, 0.3130, 0.6589) and Br at (0.3333, 0.6667, 0.9557).

Its total DFT energy (no corrections) is -2.592 eV per atom. Its density of states at the Fermi level is 4.3 states/eV per cell. As for the energy relative to the elements, uncorrected: -43 kJ per mole of atoms.



## Cs3Cu2AuBr9 (PBE-GGA)

Data for an optimized crystal structure of Cs3Cu2AuBr9.

It has space group P-3m1 (No. 164), with a = 7.5429 Å, b = 7.5429 Å, c = 9.2404 Å, α = 90.00°, β = 90.00° and γ = 120.00°. The inequivalent atoms are Cs at (0.0000, 0.0000, 0.0000), Cs at (0.3333, 0.6667, 0.6695), Cu at (0.3333, 0.6667, 0.1598), Au at (0.0000, 0.0000, 0.5000), Br at (0.0000, 0.5000, 0.0000) and Br at (0.1708, 0.3416, 0.3294).

Its total DFT energy (no corrections) is -2.800 eV per atom. Its density of states at the Fermi level is 5.4 states/eV per cell. As for the energy relative to the elements, uncorrected: -83 kJ per mole of atoms.



## Cs2DyAuBr6 (PBE-GGA)

Data for an optimized crystal structure of Cs2DyAuBr6.

It has space group P-1 (No. 2), with a = 7.982 Å, b = 8.005 Å, c = 8.038 Å, α = 112.46°, β = 112.11° and γ = 102.95°. The inequivalent atoms are Cs at (0.249, 0.250, 0.499), Dy at (0.500, 0.000, 0.000), Au at (0.000, 0.500, 0.000), Br at (0.145, 0.806, 0.001), Br at (0.281, 0.788, 0.562) and Br at (0.351, 0.280, 0.008).

Its total DFT energy (no corrections) is -3.451 eV per atom. Its density of states at the Fermi level is 0.0 states/eV per cell. As for the energy relative to the elements, uncorrected: -144 kJ per mole of atoms.



## Cs2AuBr6F (PBE-GGA)

Data for an optimized crystal structure of Cs2AuBr6F.

It has space group I4/mmm (No. 139), with a = 7.610 Å, b = 7.610 Å, c = 10.929 Å, α = 90.00°, β = 90.00° and γ = 90.00°. The inequivalent atoms are Cs at (0.000, 0.500, 0.250), Au at (0.000, 0.000, 0.000), Br at (0.000, 0.000, 0.235), Br at (0.240, 0.240, 0.000) and F at (0.000, 0.000, 0.500).

Its total DFT energy (no corrections) is -2.575 eV per atom. Its density of states at the Fermi level is 0.0 states/eV per cell. As for the energy relative to the elements, uncorrected: -85 kJ per mole of atoms.



## CsAuBr2F (PBE-GGA)

Data for an optimized crystal structure of CsAuBr2F.

It has space group P4/mmm (No. 123), with a = 5.419 Å, b = 5.419 Å, c = 4.762 Å, α = 90.00°, β = 90.00° and γ = 90.00°. The inequivalent atoms are Cs at (0.000, 0.000, 0.000), Au at (0.500, 0.500, 0.500), Br at (0.000, 0.500, 0.500) and F at (0.500, 0.500, 0.000).

Its total DFT energy (no corrections) is -2.925 eV per atom. Its density of states at the Fermi level is 1.3 states/eV per cell. As for the energy relative to the elements, uncorrected: -102 kJ per mole of atoms.



## CsAuBrF2 (PBE-GGA)

Data for an optimized crystal structure of CsAuBrF2.

It has space group P4/mmm (No. 123), with a = 4.815 Å, b = 4.815 Å, c = 5.148 Å, α = 90.00°, β = 90.00° and γ = 90.00°. The inequivalent atoms are Cs at (0.000, 0.000, 0.000), Au at (0.500, 0.500, 0.500), Br at (0.500, 0.500, 0.000) and F at (0.000, 0.500, 0.500).

Its total DFT energy (no corrections) is -3.199 eV per atom. Its density of states at the Fermi level is 1.1 states/eV per cell. As for the energy relative to the elements, uncorrected: -124 kJ per mole of atoms.



## Cs4AuBrF2 (PBE-GGA)

Data for an optimized crystal structure of Cs4AuBrF2.

It has space group Fmm2 (No. 42), with a = 11.693 Å, b = 11.693 Å, c = 9.640 Å, α = 90.00°, β = 90.00° and γ = 90.00°. The inequivalent atoms are Cs at (0.000, 0.250, 0.000), Cs at (0.250, 0.000, 0.002), Au at (0.000, 0.000, 0.251), Br at (0.000, 0.000, 0.751) and F at (0.250, 0.250, 0.002).

Its total DFT energy (no corrections) is -3.305 eV per atom. Its density of states at the Fermi level is 0.0 states/eV per cell. As for the energy relative to the elements, uncorrected: -173 kJ per mole of atoms.



## Cs4Au2BrF (PBE-GGA)

Data for an optimized crystal structure of Cs4Au2BrF.

It has space group C2/c (No. 15), with a = 14.273 Å, b = 14.182 Å, c = 10.091 Å, α = 90.00°, β = 134.94° and γ = 90.00°. The inequivalent atoms are Cs at (0.000, 0.220, 0.001), Cs at (0.229, 0.000, 0.479), Au at (0.000, 0.500, 0.000), Au at (0.250, 0.250, 0.000), Br at (0.250, 0.250, 0.500) and F at (0.000, 0.000, 0.000).

Its total DFT energy (no corrections) is -2.909 eV per atom. Its density of states at the Fermi level is 0.0 states/eV per cell. As for the energy relative to the elements, uncorrected: -118 kJ per mole of atoms.



## Cs8Au3Br4F (PBE-GGA)

Data for an optimized crystal structure of Cs8Au3Br4F.

It has space group C2/m (No. 12), with a = 17.856 Å, b = 10.256 Å, c = 10.257 Å, α = 90.00°, β = 124.85° and γ = 90.00°. The inequivalent atoms are Cs at (0.001, 0.225, 0.227), Cs at (0.247, 0.500, 0.746), Cs at (0.249, 0.000, 0.747), Au at (0.000, 0.500, 0.000), Au at (0.250, 0.250, 0.000), Br at (0.000, 0.000, 0.500), Br at (0.000, 0.500, 0.500), Br at (0.250, 0.250, 0.500) and F at (0.000, 0.000, 0.000).

Its total DFT energy (no corrections) is -2.890 eV per atom. Its density of states at the Fermi level is 0.0 states/eV per cell. As for the energy relative to the elements, uncorrected: -127 kJ per mole of atoms.



## Cs6Au2BrF (PBE-GGA)

Data for an optimized crystal structure of Cs6Au2BrF.

It has space group R3 (No. 146, hexagonal axes), with a = 8.7057 Å, b = 8.7057 Å, c = 24.4784 Å, α = 90.00°, β = 90.00° and γ = 120.00°. The inequivalent atoms are Cs at (0.0182, 0.3852, 0.0000), Cs at (0.0603, 0.6937, 0.8447), Au at (0.0000, 0.0000, 0.0685), Au at (0.0000, 0.0000, 0.5731), Br at (0.0000, 0.0000, 0.7609) and F at (0.0000, 0.0000, 0.2576).

Its total DFT energy (no corrections) is -2.480 eV per atom. Its density of states at the Fermi level is 18.5 states/eV per cell. As for the energy relative to the elements, uncorrected: -92 kJ per mole of atoms.



## Cs5Au2BrF (PBE-GGA)

Data for an optimized crystal structure of Cs5Au2BrF.

It has space group Cmc2_1 (No. 36), with a = 5.170 Å, b = 21.586 Å, c = 15.383 Å, α = 90.00°, β = 90.00° and γ = 90.00°. The inequivalent atoms are Cs at (0.000, 0.010, 0.000), Cs at (0.000, 0.287, 0.696), Cs at (0.000, 0.341, 0.372), Cs at (0.000, 0.345, 0.017), Cs at (0.000, 0.482, 0.762), Au at (0.000, 0.110, 0.689), Au at (0.000, 0.140, 0.344), Br at (0.000, 0.178, 0.038) and F at (0.000, 0.467, 0.429).

Its total DFT energy (no corrections) is -2.697 eV per atom. Its density of states at the Fermi level is 15.6 states/eV per cell. As for the energy relative to the elements, uncorrected: -106 kJ per mole of atoms.



## Cs2FeAuBr6 (PBE-GGA)

Data for an optimized crystal structure of Cs2FeAuBr6.

It has space group I4/mmm (No. 139), with a = 7.937 Å, b = 7.937 Å, c = 11.339 Å, α = 90.00°, β = 90.00° and γ = 90.00°. The inequivalent atoms are Cs at (0.000, 0.500, 0.250), Fe at (0.000, 0.000, 0.000), Au at (0.000, 0.000, 0.500), Br at (0.000, 0.000, 0.282) and Br at (0.217, 0.217, 0.000).

Its total DFT energy (no corrections) is -3.251 eV per atom. Its density of states at the Fermi level is 17.5 states/eV per cell. As for the energy relative to the elements, uncorrected: -87 kJ per mole of atoms.



## CsFe2AuBr8 (PBE-GGA)

Data for an optimized crystal structure of CsFe2AuBr8.

It has space group C2/m (No. 12), with a = 10.826 Å, b = 8.755 Å, c = 10.892 Å, α = 90.00°, β = 107.89° and γ = 90.00°. The inequivalent atoms are Cs at (0.000, 0.000, 0.000), Fe at (0.110, 0.500, 0.270), Au at (0.000, 0.000, 0.500), Br at (0.017, 0.282, 0.738), Br at (0.198, 0.500, 0.100) and Br at (0.230, 0.000, 0.513).

Its total DFT energy (no corrections) is -3.512 eV per atom. As for the energy relative to the elements, uncorrected: -62 kJ per mole of atoms.



## CsGa2AuBr8 (PBE-GGA)

Data for an optimized crystal structure of CsGa2AuBr8.

It has space group P-3 (No. 147), with a = 6.9775 Å, b = 6.9775 Å, c = 10.1818 Å, α = 90.00°, β = 90.00° and γ = 120.00°. The inequivalent atoms are Cs at (0.0000, 0.0000, 0.0000), Ga at (0.3333, 0.6667, 0.7425), Au at (0.0000, 0.0000, 0.5000), Br at (0.0128, 0.3370, 0.6717) and Br at (0.3333, 0.6667, 0.9753).

Its total DFT energy (no corrections) is -2.821 eV per atom. As for the energy relative to the elements, uncorrected: -83 kJ per mole of atoms.



## CsGe2AuBr (PBE-GGA)

Data for an optimized crystal structure of CsGe2AuBr.

It has space group P4/mmm (No. 123), with a = 4.939 Å, b = 4.939 Å, c = 8.243 Å, α = 90.00°, β = 90.00° and γ = 90.00°. The inequivalent atoms are Cs at (0.000, 0.000, 0.000), Ge at (0.000, 0.500, 0.500), Au at (0.000, 0.000, 0.500) and Br at (0.500, 0.500, 0.000).

Its total DFT energy (no corrections) is -3.140 eV per atom. Its density of states at the Fermi level is 1.8 states/eV per cell. As for the energy relative to the elements, uncorrected: -13 kJ per mole of atoms.



## Cs2HAuBr6 (PBE-GGA)

Data for an optimized crystal structure of Cs2HAuBr6.

It has space group I4/mmm (No. 139), with a = 7.306 Å, b = 7.306 Å, c = 11.679 Å, α = 90.00°, β = 90.00° and γ = 90.00°. The inequivalent atoms are Cs at (0.000, 0.500, 0.250), H at (0.000, 0.000, 0.000), Au at (0.000, 0.000, 0.500), Br at (0.000, 0.000, 0.285) and Br at (0.233, 0.233, 0.000).

Its total DFT energy (no corrections) is -2.464 eV per atom. Its density of states at the Fermi level is 2.1 states/eV per cell.



## Cs3HAuBr (PBE-GGA)

Data for an optimized crystal structure of Cs3HAuBr.

It has space group P2_1/m (No. 11), with a = 10.528 Å, b = 5.131 Å, c = 11.286 Å, α = 90.00°, β = 99.35° and γ = 90.00°. The inequivalent atoms are Cs at (0.090, 0.250, 0.340), Cs at (0.327, 0.250, 0.994), Cs at (0.398, 0.750, 0.650), H at (0.399, 0.750, 0.901), Au at (0.328, 0.750, 0.297) and Br at (0.149, 0.250, 0.660).

Its total DFT energy (no corrections) is -2.522 eV per atom. Its density of states at the Fermi level is 0.0 states/eV per cell.



## Cs2HAuBr (PBE-GGA)

Data for an optimized crystal structure of Cs2HAuBr.

It has space group P4/mmm (No. 123), with a = 6.282 Å, b = 6.282 Å, c = 4.038 Å, α = 90.00°, β = 90.00° and γ = 90.00°. The inequivalent atoms are Cs at (0.000, 0.500, 0.000), H at (0.000, 0.000, 0.000), Au at (0.000, 0.000, 0.500) and Br at (0.500, 0.500, 0.500).

Its total DFT energy (no corrections) is -2.773 eV per atom. Its density of states at the Fermi level is 1.2 states/eV per cell.



## Cs6H2AuBr3 (PBE-GGA)

Data for an optimized crystal structure of Cs6H2AuBr3.

It has space group C2/m (No. 12), with a = 21.928 Å, b = 5.028 Å, c = 10.121 Å, α = 90.00°, β = 103.60° and γ = 90.00°. The inequivalent atoms are Cs at (0.009, 0.000, 0.257), Cs at (0.169, 0.500, 0.102), Cs at (0.174, 0.500, 0.568), H at (0.171, 0.000, 0.340), Au at (0.000, 0.500, 0.000), Br at (0.000, 0.500, 0.500) and Br at (0.164, 0.000, 0.830).

Its total DFT energy (no corrections) is -2.659 eV per atom. Its density of states at the Fermi level is 0.0 states/eV per cell.



## Cs4H2AuBr (PBE-GGA)

Data for an optimized crystal structure of Cs4H2AuBr.

It has space group P2/m (No. 10), with a = 8.430 Å, b = 4.844 Å, c = 8.553 Å, α = 90.00°, β = 109.09° and γ = 90.00°. The inequivalent atoms are Cs at (0.237, 0.000, 0.217), Cs at (0.261, 0.500, 0.782), H at (0.000, 0.500, 0.000), H at (0.500, 0.000, 0.000), Au at (0.500, 0.500, 0.500) and Br at (0.000, 0.000, 0.500).

Its total DFT energy (no corrections) is -2.477 eV per atom. Its density of states at the Fermi level is 0.0 states/eV per cell.